Entry 1:
Entry from Alexandria: a geometry-optimized CaNO2F structure (PBE).

Fermi-level density of states   4.683 states/eV per cell
Energy   -3.88 eV per atom
Magnetic moment   0.0 μB per formula unit
Crystal system   tetragonal
Formation energy without anion corrections   260 kJ/mol of formula units

a = 4.5258 Å, b = 4.5258 Å, c = 5.2564 Å
α = 90.00°, β = 90.00°, γ = 90.00°
Space group P4/mmm (No. 123)
One atom of each set of equivalent atoms:
Ca1 0.0000 0.0000 0.0000 [1 per cell]
N1 0.0000 0.0000 0.5000 [1 per cell]
O1 0.0000 0.5000 0.0000 [2 per cell]
F1 0.5000 0.5000 0.5000 [1 per cell]

***

Entry 2:
Entry from Alexandria: a geometry-optimized Ta2BeAl structure (PBE).

Fermi-level density of states   21.317 states/eV per cell
Energy   -7.50 eV per atom
Energy relative to the lowest polymorph listed for this composition   465.9 meV/atom
Magnetic moment   0.0 μB per formula unit
Crystal system   cubic

a = 6.3150 Å, b = 6.3150 Å, c = 6.3150 Å
α = 90.00°, β = 90.00°, γ = 90.00°
Space group F-43m (No. 216)
One atom of each set of equivalent atoms:
Ta1 0.0000 0.0000 0.0000 [4 per cell]
Ta2 0.2500 0.2500 0.2500 [4 per cell]
Be1 0.2500 0.2500 0.7500 [4 per cell]
Al1 0.0000 0.0000 0.5000 [4 per cell]